! TeIrRh2, relaxed, DFT PBE; values from VASP
&SYSTEM
  ibrav = 0, nat = 8, ntyp = 3
/
ATOMIC_SPECIES
Te 127.60 Te.upf
Ir 192.22 Ir.upf
Rh 102.91 Rh.upf
CELL_PARAMETERS angstrom
-2.706 2.706 6.375
2.706 -2.706 6.375
2.706 2.706 -6.375
ATOMIC_POSITIONS angstrom
Te 0.000 0.000 0.000
Te 0.000 2.706 3.188
Ir 2.706 0.000 3.188
Ir 0.000 0.000 6.375
Rh 1.353 -1.211 4.781
Rh 1.496 1.353 1.594
Rh 1.353 3.917 -1.594
Rh 1.211 1.353 7.969
! - Formation energy from raw total energies: 0.565 eV per atom
! - DOS at the Fermi energy: 1.03 states/eV per atom

! MgTiIn, relaxed, DFT PBE; values from VASP
&SYSTEM
  ibrav = 0, nat = 3, ntyp = 3
/
ATOMIC_SPECIES
Mg 24.30 Mg.upf
Ti 47.87 Ti.upf
In 114.82 In.upf
CELL_PARAMETERS angstrom
4.735 0.000 0.000
-2.368 4.101 0.000
0.000 0.000 3.106
ATOMIC_POSITIONS angstrom
Mg 0.000 0.000 0.000
Ti 0.000 2.734 1.581
In 2.368 1.367 0.065
! - ΔE_f: 32 meV/atom
! - DOS at the Fermi energy: 0.73 states/eV per atom